Record 1
The following is a GGA+U calculation of a geometry-optimized RbTl2Cr2O7 structure, from Alexandria.

Uncorrected energy   -5.858 eV/atom
Fermi-level density of states   0.47 states/eV per atom
M_tot   1.000 μB/f.u.

Structure (CIF):
```
data_RbTl2Cr2O7
_space_group_name_H-M_alt 'P 1'
_space_group_IT_number 1
_cell_length_a 6.073
_cell_length_b 6.073
_cell_length_c 8.861
_cell_angle_alpha 69.96
_cell_angle_beta 69.96
_cell_angle_gamma 60.00
loop_
_space_group_symop_operation_xyz
'x,y,z'
loop_
_atom_site_label
_atom_site_type_symbol
_atom_site_fract_x
_atom_site_fract_y
_atom_site_fract_z
O1 O 0.376 0.050 0.719
O2 O 0.950 0.624 0.281
Tl1 Tl 0.297 0.297 0.109
Tl2 Tl 0.703 0.703 0.891
O3 O 0.856 0.376 0.719
O4 O 0.000 0.000 0.000
Cr1 Cr 0.073 0.073 0.781
O5 O 0.050 0.856 0.719
Rb1 Rb 0.500 0.500 0.500
O6 O 0.144 0.950 0.281
O7 O 0.624 0.144 0.281
Cr2 Cr 0.927 0.927 0.219
```

Record 2
The following is a GGA+U calculation of a geometry-optimized RbTlCrO3 structure, from Alexandria.

Uncorrected energy   -5.657 eV/atom
M_tot   2.000 μB/f.u.

Structure (CIF):
```
data_RbTlCrO3
_space_group_name_H-M_alt 'P 1'
_space_group_IT_number 1
_cell_length_a 5.438
_cell_length_b 6.778
_cell_length_c 7.280
_cell_angle_alpha 62.26
_cell_angle_beta 83.99
_cell_angle_gamma 77.01
loop_
_space_group_symop_operation_xyz
'x,y,z'
loop_
_atom_site_label
_atom_site_type_symbol
_atom_site_fract_x
_atom_site_fract_y
_atom_site_fract_z
Tl1 Tl 0.250 0.213 0.575
Rb1 Rb 0.750 0.403 0.194
O1 O 0.488 0.859 0.932
O2 O 0.012 0.209 0.932
Cr1 Cr 0.750 0.043 0.914
O3 O 0.512 0.141 0.068
Tl2 Tl 0.750 0.787 0.425
Cr2 Cr 0.250 0.957 0.086
O4 O 0.250 0.819 0.363
O5 O 0.750 0.181 0.637
O6 O 0.988 0.791 0.068
Rb2 Rb 0.250 0.597 0.806
```

Record 3
The following is a GGA+U calculation of a geometry-optimized RbTlCrO4 structure, from Alexandria.

Uncorrected energy   -5.787 eV/atom
Fermi-level density of states   0.00 states/eV per atom
M_tot   0.000 μB/f.u.

Structure (CIF):
```
data_RbTlCrO4
_space_group_name_H-M_alt 'P 1'
_space_group_IT_number 1
_cell_length_a 6.338
_cell_length_b 6.260
_cell_length_c 8.076
_cell_angle_alpha 90.00
_cell_angle_beta 112.47
_cell_angle_gamma 90.00
loop_
_space_group_symop_operation_xyz
'x,y,z'
loop_
_atom_site_label
_atom_site_type_symbol
_atom_site_fract_x
_atom_site_fract_y
_atom_site_fract_z
Tl1 Tl 0.820 0.750 0.506
O1 O 0.085 0.533 0.230
Tl2 Tl 0.180 0.250 0.494
O2 O 0.567 0.250 0.817
O3 O 0.433 0.750 0.183
O4 O 0.400 0.750 0.509
O5 O 0.915 0.033 0.770
O6 O 0.600 0.250 0.491
Cr1 Cr 0.251 0.750 0.288
Rb1 Rb 0.684 0.750 0.939
Rb2 Rb 0.316 0.250 0.061
O7 O 0.085 0.967 0.230
O8 O 0.915 0.467 0.770
Cr2 Cr 0.749 0.250 0.712
```